# 1
## ZrOsSe (PBE)

Data for a geometry-optimized ZrOsSe structure.

Calculated values
SG: Pmn2_1
V in Å³/cell: 111
Energy relative to the elements, uncorrected in eV per atom: -0.4651
Total DFT energy (no corrections) in eV per formula unit: -24.66

a = 4.412 Å, b = 7.666 Å, c = 3.282 Å
α = 90.00°, β = 90.00°, γ = 90.00°
Sites, in units of the cell vectors:
Se1 0.500 0.159 0.234
Zr1 0.000 0.236 0.721
Zr2 0.500 0.764 0.221
Se2 0.000 0.841 0.734
Os1 0.500 0.467 0.672
Os2 0.000 0.533 0.172

=====

# 2
## NaAg8Sn3 (PBE)

Data for a geometry-optimized NaAg8Sn3 structure.

Calculated values
SG: R3m
V in Å³/cell: 252
Calculated formation energy in eV per atom: 0.02
Total DFT energy (no corrections) in eV per formula unit: -35.95

a = 5.644 Å, b = 5.644 Å, c = 9.692 Å
α = 73.07°, β = 73.07°, γ = 60.00°
Sites, in units of the cell vectors:
Ag1 0.688 0.688 0.937
Ag2 0.937 0.438 0.687
Ag3 0.187 0.187 0.438
Ag4 0.438 0.937 0.687
Sn1 0.500 0.500 0.499
Ag5 0.437 0.437 0.188
Ag6 0.937 0.937 0.687
Na1 0.875 0.875 0.376
Ag7 0.437 0.938 0.188
Ag8 0.938 0.437 0.188
Sn2 0.374 0.374 0.879
Sn3 0.001 0.001 0.997

=====

# 3
## CaTlS2Cl (PBE)

Data for a geometry-optimized CaTlS2Cl structure.

Calculated values
SG: P4/mmm
V in Å³/cell: 159
Energy relative to the lowest polymorph listed for this composition in meV/atom: 0
Energy relative to the elements, uncorrected in eV per atom: -0.6753
Total DFT energy (no corrections) in eV per formula unit: -17.85

a = 5.439 Å, b = 5.439 Å, c = 5.364 Å
α = 90.00°, β = 90.00°, γ = 90.00°
Last column: magnetic moment on the atom in μB.
Sites, in units of the cell vectors:
S1 0.000 0.500 0.000  0.57
Cl1 0.000 0.000 0.500  0.07
Ca1 0.000 0.000 0.000  -0.01
Tl1 0.500 0.500 0.500  0.01
S2 0.500 0.000 0.000  0.57

=====

# 4
## BaLa2TiCr (PBE)

Data for a geometry-optimized BaLa2TiCr structure.

Calculated values
SG: P4/mmm
V in Å³/cell: 188
Calculated formation energy in eV per atom: 0.88
Total DFT energy (no corrections) in eV per formula unit: -24.90

a = 5.562 Å, b = 6.069 Å, c = 5.562 Å
α = 90.00°, β = 90.00°, γ = 90.00°
Last column: magnetic moment on the atom in μB.
Sites, in units of the cell vectors:
Ba1 0.000 0.500 0.000  -0.05
La1 0.500 0.000 0.000  -0.02
Ti1 0.000 0.000 0.000  -0.29
Cr1 0.500 0.500 0.500  -4.12
La2 0.000 0.000 0.500  -0.03

=====

# 5
## TiNbCr2 (PBE)

Data for a geometry-optimized TiNbCr2 structure.

Calculated values
SG: P4/mmm
V in Å³/cell: 58
Calculated formation energy in eV per atom: 0.05
Total DFT energy (no corrections) in eV per formula unit: -37.00

a = 3.080 Å, b = 4.345 Å, c = 4.345 Å
α = 90.00°, β = 90.00°, γ = 90.00°
Last column: magnetic moment on the atom in μB.
Sites, in units of the cell vectors:
Nb1 0.500 0.500 0.500  -0.16
Cr1 0.000 0.000 0.500  0.66
Ti1 0.500 0.000 0.000  -0.02
Cr2 0.000 0.500 0.000  0.66

=====

# 6
## Ga5Ge3Cl12 (PBE)

Data for a geometry-optimized Ga5Ge3Cl12 structure.

Calculated values
SG: Ia-3d
V in Å³/cell: 2249
Energy relative to the elements, uncorrected in eV per atom: -0.5278
Total DFT energy (no corrections) in eV per formula unit: -61.70

a = 14.296 Å, b = 14.296 Å, c = 14.296 Å
α = 109.47°, β = 109.47°, γ = 109.47°
Sites, in units of the cell vectors:
Cl1 0.438 0.376 0.609
Cl2 0.109 0.938 0.376
Cl3 0.624 0.562 0.891
Cl4 0.938 0.829 0.561
Ga1 0.000 0.500 0.000
Ga2 0.125 0.375 0.250
Cl5 0.938 0.109 0.876
Ga3 0.625 0.875 0.250
Cl6 0.329 0.561 0.438
Cl7 0.268 0.391 0.829
Ga4 0.000 0.000 0.000
Ge1 0.375 0.625 0.250
Cl8 0.671 0.232 0.609
Cl9 0.561 0.329 0.938
Ge2 0.125 0.875 0.750
Ge3 0.750 0.375 0.125
Cl10 0.829 0.938 0.061
Cl11 0.876 0.268 0.439
Cl12 0.391 0.268 0.329
Cl13 0.329 0.768 0.391
Cl14 0.768 0.329 0.891
Ge4 0.625 0.375 0.750
Ga5 0.500 0.500 0.500
Cl15 0.891 0.062 0.624
Cl16 0.609 0.732 0.671
Ga6 0.500 0.000 0.000
Cl17 0.124 0.391 0.062
Cl18 0.891 0.829 0.768
Cl19 0.829 0.891 0.268
Ga7 0.000 0.000 0.500
Cl20 0.624 0.061 0.232
Cl21 0.391 0.124 0.562
Cl22 0.671 0.439 0.562
Cl23 0.438 0.061 0.329
Cl24 0.376 0.939 0.768
Cl25 0.061 0.438 0.829
Ge5 0.250 0.125 0.375
Ge6 0.750 0.875 0.625
Cl26 0.439 0.768 0.876
Ga8 0.125 0.750 0.375
Ge7 0.625 0.250 0.375
Cl27 0.061 0.624 0.732
Ga9 0.500 0.500 0.000
Ga10 0.375 0.250 0.125
Ga11 0.250 0.375 0.625
Cl28 0.768 0.439 0.376
Ge8 0.125 0.250 0.875
Cl29 0.232 0.671 0.109
Cl30 0.561 0.232 0.124
Ga12 0.375 0.125 0.750
Cl31 0.124 0.732 0.561
Ga13 0.875 0.250 0.625
Ga14 0.000 0.500 0.500
Ga15 0.500 0.000 0.500
Cl32 0.732 0.609 0.171
Cl33 0.268 0.876 0.939
Cl34 0.876 0.609 0.938
Ga16 0.625 0.750 0.875
Cl35 0.109 0.171 0.232
Cl36 0.439 0.671 0.062
Ge9 0.375 0.750 0.625
Ge10 0.875 0.125 0.250
Ga17 0.875 0.625 0.750
Cl37 0.562 0.939 0.671
Cl38 0.939 0.376 0.268
Cl39 0.062 0.171 0.439
Ge11 0.250 0.625 0.875
Cl40 0.376 0.438 0.109
Cl41 0.171 0.062 0.939
Ga18 0.750 0.625 0.375
Cl42 0.232 0.561 0.624
Cl43 0.609 0.876 0.438
Cl44 0.062 0.891 0.124
Ge12 0.875 0.750 0.125
Ga19 0.750 0.125 0.875
Cl45 0.562 0.624 0.391
Cl46 0.732 0.124 0.061
Cl47 0.939 0.562 0.171
Ga20 0.250 0.875 0.125
Cl48 0.171 0.109 0.732

=====

# 7
## CdTeCl (PBE)

Data for a geometry-optimized CdTeCl structure.

Calculated values
SG: I4mm
V in Å³/cell: 85
Energy relative to the lowest polymorph listed for this composition in meV/atom: 177
Energy relative to the elements, uncorrected in eV per atom: -0.3101
Total DFT energy (no corrections) in eV per formula unit: -6.83

a = 7.670 Å, b = 7.670 Å, c = 7.670 Å
α = 154.31°, β = 154.31°, γ = 36.64°
Sites, in units of the cell vectors:
Te1 0.633 0.633 0.000
Cd1 0.986 0.986 0.000
Cl1 0.381 0.381 0.000

=====

# 8
## LaMg2In (PBE)

Data for a geometry-optimized LaMg2In structure.

Calculated values
SG: P4mm
V in Å³/cell: 107
Calculated formation energy in eV per atom: -0.21
Total DFT energy (no corrections) in eV per formula unit: -11.68

a = 3.653 Å, b = 3.655 Å, c = 8.015 Å
α = 90.00°, β = 90.00°, γ = 90.00°
Sites, in units of the cell vectors:
La1 0.500 0.500 0.744
In1 0.000 0.000 0.461
Mg1 0.000 0.000 0.041
Mg2 0.500 0.500 0.254

=====

# 9
## NbTe2RhI (PBE)

Data for a geometry-optimized NbTe2RhI structure.

Calculated values
SG: P4/mmm
V in Å³/cell: 162
Energy relative to the lowest polymorph listed for this composition in meV/atom: 0
Energy relative to the elements, uncorrected in eV per atom: 0.8050
Total DFT energy (no corrections) in eV per formula unit: -21.23

a = 5.348 Å, b = 5.348 Å, c = 5.676 Å
α = 90.00°, β = 90.00°, γ = 90.00°
Last column: magnetic moment on the atom in μB.
Sites, in units of the cell vectors:
Rh1 0.500 0.500 0.500  1.25
I1 0.000 0.000 0.500  0.05
Nb1 0.000 0.000 0.000  -0.40
Te1 0.000 0.500 0.000  0.06
Te2 0.500 0.000 0.000  0.06

=====

# 10
## ZrIr3Pd (PBE)

Data for a geometry-optimized ZrIr3Pd structure.

Calculated values
SG: Pm-3m
V in Å³/cell: 112
Energy relative to the lowest polymorph listed for this composition in meV/atom: 254
Calculated formation energy in eV per atom: 1.71
Total DFT energy (no corrections) in eV per formula unit: -31.75

a = 4.825 Å, b = 4.825 Å, c = 4.825 Å
α = 90.00°, β = 90.00°, γ = 90.00°
Last column: magnetic moment on the atom in μB.
Sites, in units of the cell vectors:
Ir1 0.000 0.000 0.500  0.33
Zr1 0.000 0.000 0.000  -0.06
Ir2 0.500 0.000 0.000  0.54
Ir3 0.000 0.500 0.000  0.40
Pd1 0.500 0.500 0.500  0.26

=====

# 11
## AlCrCo2 (PBE)

Data for a geometry-optimized AlCrCo2 structure.

Calculated values
SG: P4mm
V in Å³/cell: 47
Calculated formation energy in eV per atom: -0.06
Total DFT energy (no corrections) in eV per formula unit: -27.80

a = 2.808 Å, b = 2.808 Å, c = 5.955 Å
α = 90.00°, β = 90.00°, γ = 90.00°
Last column: magnetic moment on the atom in μB.
Sites, in units of the cell vectors:
Co1 0.000 0.000 0.005  1.07
Al1 0.500 0.500 0.763  0.00
Cr1 0.000 0.000 0.481  -0.51
Co2 0.500 0.500 0.251  1.41

=====

# 12
## Y6ZnCd5 (PBE)

Data for a geometry-optimized Y6ZnCd5 structure.

Calculated values
SG: Cmmm
V in Å³/cell: 310
Calculated formation energy in eV per atom: -0.35
Total DFT energy (no corrections) in eV per formula unit: -48.84

a = 5.258 Å, b = 7.462 Å, c = 8.325 Å
α = 90.00°, β = 71.59°, γ = 90.00°
Sites, in units of the cell vectors:
Cd1 0.668 0.500 0.665
Zn1 0.000 0.000 0.000
Cd2 0.332 0.500 0.335
Y1 0.500 0.242 0.000
Cd3 0.331 0.000 0.338
Y2 0.837 0.754 0.326
Cd4 0.000 0.500 0.000
Y3 0.500 0.758 0.000
Cd5 0.669 0.000 0.662
Y4 0.163 0.754 0.674
Y5 0.163 0.246 0.674
Y6 0.837 0.246 0.326

=====

Which of these has the lowest V?
AlCrCo2

=====

Among the records above, which one has the highest V?
Ga5Ge3Cl12